Material: Sc4TaCo
Method: DFT, PBEsol
State: relaxed

The structure in CIF format:
```
data_Sc4TaCo
_chemical_formula_sum 'Sc4 Ta1 Co1'
_cell_length_a 5.478
_cell_length_b 5.478
_cell_length_c 5.478
_cell_angle_alpha 60.00
_cell_angle_beta 60.00
_cell_angle_gamma 60.00
_space_group_name_H-M_alt 'P 1'
_space_group_IT_number 1
loop_
_space_group_symop_operation_xyz
'x,y,z'
loop_
_atom_site_label
_atom_site_type_symbol
_atom_site_fract_x
_atom_site_fract_y
_atom_site_fract_z
_atom_site_occupancy
Sc1 Sc 0.376 0.376 0.376 1
Sc2 Sc 0.376 0.376 0.873 1
Sc3 Sc 0.376 0.873 0.376 1
Sc4 Sc 0.873 0.376 0.376 1
Ta1 Ta 0.750 0.750 0.750 1
Co1 Co 0.000 0.000 0.000 1
```

Computed properties:
Space group: F-43m
Crystal system: cubic
Total magnetization, Bohr magnetons per cell: 0.8
E, eV per atom: -7.04

---

Material: ScCo2Tc
Method: DFT, PBEsol
State: relaxed

The structure in CIF format:
```
data_ScCo2Tc
_chemical_formula_sum 'Sc1 Co2 Tc1'
_cell_length_a 8.635
_cell_length_b 8.635
_cell_length_c 8.635
_cell_angle_alpha 18.04
_cell_angle_beta 18.04
_cell_angle_gamma 18.04
_space_group_name_H-M_alt 'P 1'
_space_group_IT_number 1
loop_
_space_group_symop_operation_xyz
'x,y,z'
loop_
_atom_site_label
_atom_site_type_symbol
_atom_site_fract_x
_atom_site_fract_y
_atom_site_fract_z
_atom_site_occupancy
Sc1 Sc 0.000 0.000 0.000 1
Co1 Co 0.248 0.248 0.248 1
Co2 Co 0.509 0.509 0.509 1
Tc1 Tc 0.764 0.764 0.764 1
```

Computed properties:
Space group: R3m
Crystal system: trigonal
Total magnetization, Bohr magnetons per cell: 2.7
E, eV per atom: -8.03

---

Material: Sc2CoTc
Method: DFT, PBEsol
State: relaxed

The structure in CIF format:
```
data_Sc2CoTc
_chemical_formula_sum 'Sc2 Co1 Tc1'
_cell_length_a 4.453
_cell_length_b 4.453
_cell_length_c 3.126
_cell_angle_alpha 90.00
_cell_angle_beta 90.00
_cell_angle_gamma 90.00
_space_group_name_H-M_alt 'P 1'
_space_group_IT_number 1
loop_
_space_group_symop_operation_xyz
'x,y,z'
loop_
_atom_site_label
_atom_site_type_symbol
_atom_site_fract_x
_atom_site_fract_y
_atom_site_fract_z
_atom_site_occupancy
Sc1 Sc 0.000 0.500 0.000 1
Sc2 Sc 0.500 0.000 0.000 1
Co1 Co 0.000 0.000 0.500 1
Tc1 Tc 0.500 0.500 0.500 1
```

Computed properties:
Space group: P4/mmm
Crystal system: tetragonal
Total magnetization, Bohr magnetons per cell: 0.0
E, eV per atom: -8.21

---

Material: ScCo2Tc
Method: DFT, PBEsol
State: relaxed

The structure in CIF format:
```
data_ScCo2Tc
_chemical_formula_sum 'Sc1 Co2 Tc1'
_cell_length_a 3.149
_cell_length_b 4.024
_cell_length_c 4.192
_cell_angle_alpha 90.00
_cell_angle_beta 90.00
_cell_angle_gamma 90.00
_space_group_name_H-M_alt 'P 1'
_space_group_IT_number 1
loop_
_space_group_symop_operation_xyz
'x,y,z'
loop_
_atom_site_label
_atom_site_type_symbol
_atom_site_fract_x
_atom_site_fract_y
_atom_site_fract_z
_atom_site_occupancy
Sc1 Sc 0.000 0.000 0.000 1
Co1 Co 0.000 0.500 0.500 1
Co2 Co 0.500 0.500 0.000 1
Tc1 Tc 0.500 0.000 0.500 1
```

Computed properties:
Space group: Pmmm
Crystal system: orthorhombic
Total magnetization, Bohr magnetons per cell: 3.2
E, eV per atom: -8.23

---

Material: ScCoTc3
Method: DFT, PBEsol
State: relaxed

The structure in CIF format:
```
data_ScCoTc3
_chemical_formula_sum 'Sc1 Co1 Tc3'
_cell_length_a 4.409
_cell_length_b 4.409
_cell_length_c 4.409
_cell_angle_alpha 90.00
_cell_angle_beta 90.00
_cell_angle_gamma 90.00
_space_group_name_H-M_alt 'P 1'
_space_group_IT_number 1
loop_
_space_group_symop_operation_xyz
'x,y,z'
loop_
_atom_site_label
_atom_site_type_symbol
_atom_site_fract_x
_atom_site_fract_y
_atom_site_fract_z
_atom_site_occupancy
Sc1 Sc 0.000 0.000 0.000 1
Co1 Co 0.500 0.500 0.500 1
Tc1 Tc 0.000 0.000 0.500 1
Tc2 Tc 0.000 0.500 0.000 1
Tc3 Tc 0.500 0.000 0.000 1
```

Computed properties:
Space group: Pm-3m
Crystal system: cubic
Total magnetization, Bohr magnetons per cell: 1.3
E, eV per atom: -7.43

---

Material: ScCoTe2
Method: DFT, PBEsol
State: relaxed

The structure in CIF format:
```
data_ScCoTe2
_chemical_formula_sum 'Sc1 Co1 Te2'
_cell_length_a 3.704
_cell_length_b 3.619
_cell_length_c 6.609
_cell_angle_alpha 90.00
_cell_angle_beta 104.56
_cell_angle_gamma 90.00
_space_group_name_H-M_alt 'P 1'
_space_group_IT_number 1
loop_
_space_group_symop_operation_xyz
'x,y,z'
loop_
_atom_site_label
_atom_site_type_symbol
_atom_site_fract_x
_atom_site_fract_y
_atom_site_fract_z
_atom_site_occupancy
Sc1 Sc 0.000 0.000 0.000 1
Co1 Co 0.000 0.000 0.500 1
Te1 Te 0.329 0.500 0.739 1
Te2 Te 0.671 0.500 0.261 1
```

Computed properties:
Space group: P2/m
Formation energy (no corrections), kJ/mol of formula units: -121
Crystal system: monoclinic
Total magnetization, Bohr magnetons per cell: 0.9
E, eV per atom: -5.66

---

Material: Sc6CoTe2
Method: DFT, PBEsol
State: relaxed

The structure in CIF format:
```
data_Sc6CoTe2
_chemical_formula_sum 'Sc6 Co1 Te2'
_cell_length_a 7.642
_cell_length_b 7.642
_cell_length_c 3.691
_cell_angle_alpha 90.00
_cell_angle_beta 90.00
_cell_angle_gamma 120.00
_space_group_name_H-M_alt 'P 1'
_space_group_IT_number 1
loop_
_space_group_symop_operation_xyz
'x,y,z'
loop_
_atom_site_label
_atom_site_type_symbol
_atom_site_fract_x
_atom_site_fract_y
_atom_site_fract_z
_atom_site_occupancy
Sc1 Sc 0.000 0.389 0.000 1
Sc2 Sc 0.000 0.765 0.500 1
Sc3 Sc 0.235 0.235 0.500 1
Sc4 Sc 0.389 0.000 0.000 1
Sc5 Sc 0.611 0.611 0.000 1
Sc6 Sc 0.765 0.000 0.500 1
Co1 Co 0.000 0.000 0.000 1
Te1 Te 0.333 0.667 0.500 1
Te2 Te 0.667 0.333 0.500 1
```

Computed properties:
Space group: P-62m
Formation energy (no corrections), kJ/mol of formula units: -616
Crystal system: hexagonal
Total magnetization, Bohr magnetons per cell: 0.0
E, eV per atom: -6.76

---

Material: ScTlCo
Method: DFT, PBEsol
State: relaxed

The structure in CIF format:
```
data_ScTlCo
_chemical_formula_sum 'Sc1 Tl1 Co1'
_cell_length_a 4.451
_cell_length_b 4.451
_cell_length_c 4.451
_cell_angle_alpha 60.00
_cell_angle_beta 60.00
_cell_angle_gamma 60.00
_space_group_name_H-M_alt 'P 1'
_space_group_IT_number 1
loop_
_space_group_symop_operation_xyz
'x,y,z'
loop_
_atom_site_label
_atom_site_type_symbol
_atom_site_fract_x
_atom_site_fract_y
_atom_site_fract_z
_atom_site_occupancy
Sc1 Sc 0.000 0.000 0.000 1
Tl1 Tl 0.250 0.250 0.250 1
Co1 Co 0.750 0.750 0.750 1
```

Computed properties:
Space group: F-43m
Crystal system: cubic
Total magnetization, Bohr magnetons per cell: 0.6
E, eV per atom: -5.10

---

Material: ScTlCo
Method: DFT, PBEsol
State: relaxed

The structure in CIF format:
```
data_ScTlCo
_chemical_formula_sum 'Sc1 Tl1 Co1'
_cell_length_a 4.456
_cell_length_b 4.456
_cell_length_c 4.456
_cell_angle_alpha 60.00
_cell_angle_beta 60.00
_cell_angle_gamma 60.00
_space_group_name_H-M_alt 'P 1'
_space_group_IT_number 1
loop_
_space_group_symop_operation_xyz
'x,y,z'
loop_
_atom_site_label
_atom_site_type_symbol
_atom_site_fract_x
_atom_site_fract_y
_atom_site_fract_z
_atom_site_occupancy
Sc1 Sc 0.000 0.000 0.000 1
Tl1 Tl 0.250 0.250 0.250 1
Co1 Co 0.500 0.500 0.500 1
```

Computed properties:
Space group: F-43m
Crystal system: cubic
Total magnetization, Bohr magnetons per cell: 1.5
E, eV per atom: -5.21

---

Material: Sc2TlCo
Method: DFT, PBEsol
State: relaxed

The structure in CIF format:
```
data_Sc2TlCo
_chemical_formula_sum 'Sc2 Tl1 Co1'
_cell_length_a 3.478
_cell_length_b 3.478
_cell_length_c 8.176
_cell_angle_alpha 97.91
_cell_angle_beta 97.91
_cell_angle_gamma 53.72
_space_group_name_H-M_alt 'P 1'
_space_group_IT_number 1
loop_
_space_group_symop_operation_xyz
'x,y,z'
loop_
_atom_site_label
_atom_site_type_symbol
_atom_site_fract_x
_atom_site_fract_y
_atom_site_fract_z
_atom_site_occupancy
Sc1 Sc 0.246 0.246 0.193 1
Sc2 Sc 0.754 0.754 0.807 1
Tl1 Tl 0.000 0.000 0.500 1
Co1 Co 0.500 0.500 0.000 1
```

Computed properties:
Space group: C2/m
Crystal system: monoclinic
Total magnetization, Bohr magnetons per cell: 0.0
E, eV per atom: -6.07

---

Material: Sc2TlCo
Method: DFT, PBEsol
State: relaxed

The structure in CIF format:
```
data_Sc2TlCo
_chemical_formula_sum 'Sc2 Tl1 Co1'
_cell_length_a 3.146
_cell_length_b 3.146
_cell_length_c 7.476
_cell_angle_alpha 90.00
_cell_angle_beta 90.00
_cell_angle_gamma 90.00
_space_group_name_H-M_alt 'P 1'
_space_group_IT_number 1
loop_
_space_group_symop_operation_xyz
'x,y,z'
loop_
_atom_site_label
_atom_site_type_symbol
_atom_site_fract_x
_atom_site_fract_y
_atom_site_fract_z
_atom_site_occupancy
Sc1 Sc 0.000 0.000 0.201 1
Sc2 Sc 0.000 0.000 0.799 1
Tl1 Tl 0.500 0.500 0.500 1
Co1 Co 0.500 0.500 0.000 1
```

Computed properties:
Space group: P4/mmm
Crystal system: tetragonal
Total magnetization, Bohr magnetons per cell: 0.4
E, eV per atom: -6.26

---

Material: ScCoW2
Method: DFT, PBEsol
State: relaxed

The structure in CIF format:
```
data_ScCoW2
_chemical_formula_sum 'Sc1 Co1 W2'
_cell_length_a 2.716
_cell_length_b 2.716
_cell_length_c 8.206
_cell_angle_alpha 90.00
_cell_angle_beta 90.00
_cell_angle_gamma 90.00
_space_group_name_H-M_alt 'P 1'
_space_group_IT_number 1
loop_
_space_group_symop_operation_xyz
'x,y,z'
loop_
_atom_site_label
_atom_site_type_symbol
_atom_site_fract_x
_atom_site_fract_y
_atom_site_fract_z
_atom_site_occupancy
Sc1 Sc 0.000 0.000 0.000 1
Co1 Co 0.500 0.500 0.770 1
W1 W 0.000 0.000 0.572 1
W2 W 0.500 0.500 0.296 1
```

Computed properties:
Space group: P4mm
Crystal system: tetragonal
Total magnetization, Bohr magnetons per cell: 0.0
E, eV per atom: -10.35

---

Material: Sc4CoW
Method: DFT, PBEsol
State: relaxed

The structure in CIF format:
```
data_Sc4CoW
_chemical_formula_sum 'Sc4 Co1 W1'
_cell_length_a 5.385
_cell_length_b 5.385
_cell_length_c 5.385
_cell_angle_alpha 60.00
_cell_angle_beta 60.00
_cell_angle_gamma 60.00
_space_group_name_H-M_alt 'P 1'
_space_group_IT_number 1
loop_
_space_group_symop_operation_xyz
'x,y,z'
loop_
_atom_site_label
_atom_site_type_symbol
_atom_site_fract_x
_atom_site_fract_y
_atom_site_fract_z
_atom_site_occupancy
Sc1 Sc 0.125 0.125 0.125 1
Sc2 Sc 0.125 0.125 0.624 1
Sc3 Sc 0.125 0.624 0.125 1
Sc4 Sc 0.624 0.125 0.125 1
Co1 Co 0.750 0.750 0.750 1
W1 W 0.500 0.500 0.500 1
```

Computed properties:
Space group: F-43m
Crystal system: cubic
Total magnetization, Bohr magnetons per cell: 1.1
E, eV per atom: -7.15

---

Material: ScCoW2
Method: DFT, PBEsol
State: relaxed

The structure in CIF format:
```
data_ScCoW2
_chemical_formula_sum 'Sc1 Co1 W2'
_cell_length_a 3.125
_cell_length_b 3.125
_cell_length_c 6.263
_cell_angle_alpha 90.00
_cell_angle_beta 90.00
_cell_angle_gamma 90.00
_space_group_name_H-M_alt 'P 1'
_space_group_IT_number 1
loop_
_space_group_symop_operation_xyz
'x,y,z'
loop_
_atom_site_label
_atom_site_type_symbol
_atom_site_fract_x
_atom_site_fract_y
_atom_site_fract_z
_atom_site_occupancy
Sc1 Sc 0.000 0.000 0.000 1
Co1 Co 0.500 0.500 0.744 1
W1 W 0.000 0.000 0.517 1
W2 W 0.500 0.500 0.284 1
```

Computed properties:
Space group: P4mm
Crystal system: tetragonal
Total magnetization, Bohr magnetons per cell: 0.0
E, eV per atom: -10.38